1.
A geometry-optimized Zr3Zn2Pd8 structure. Source: Alexandria via LeMat-Bulk, functional PBE.

POSCAR file:
```
Zr3Zn2Pd8
1.0
2.6552 1.5330 9.4727
-2.6552 1.5330 9.4727
0.0000 -3.0659 9.4727
Zr Zn Pd
3 2 8
Direct
0.0000 0.0000 0.0000
0.1906 0.1906 0.1906
0.8094 0.8094 0.8094
0.3678 0.3678 0.3678
0.6322 0.6322 0.6322
0.2254 0.7280 0.7280
0.2720 0.2720 0.7746
0.2720 0.7746 0.2720
0.2833 0.2833 0.2833
0.7167 0.7167 0.7167
0.7280 0.2254 0.7280
0.7280 0.7280 0.2254
0.7746 0.2720 0.2720
```

Computed properties:
uncorrected energy	-5.77	eV per atom
DFT formation energy	-9.33	kcal/mol of atoms

***

2.
A geometry-optimized Ti4RuRh3 structure. Source: Alexandria via LeMat-Bulk, functional PBE.

POSCAR file:
```
Ti4RuRh3
1.0
3.1358 0.0000 0.0000
0.0000 3.1358 0.0000
0.0000 0.0000 12.1264
Ti Ru Rh
4 1 3
Direct
0.0000 0.0000 0.1238
0.0000 0.0000 0.3752
0.0000 0.0000 0.6248
0.0000 0.0000 0.8762
0.5000 0.5000 0.0000
0.5000 0.5000 0.2505
0.5000 0.5000 0.5000
0.5000 0.5000 0.7495
```

Computed properties:
uncorrected energy	-8.60	eV per atom
DFT formation energy	-17.06	kcal/mol of atoms

***

3.
A geometry-optimized Tm6Ge2As3Se structure. Source: Alexandria via LeMat-Bulk, functional PBE.

POSCAR file:
```
Tm6Ge2As3Se
1.0
8.9004 -2.0059 0.0000
8.9004 2.0059 0.0000
-1.9085 0.0000 8.0131
Tm Ge As Se
6 2 3 1
Direct
0.0014 0.0014 0.2575
0.3315 0.3315 0.9172
0.3334 0.3334 0.4139
0.6666 0.6666 0.5861
0.6685 0.6685 0.0828
0.9986 0.9986 0.7425
0.1662 0.1662 0.3320
0.8338 0.8338 0.6680
0.1640 0.1640 0.8344
0.5000 0.5000 0.5000
0.8360 0.8360 0.1656
0.5000 0.5000 0.0000
```

Computed properties:
formation energy without anion corrections	-1.3072	eV per atom
uncorrected energy	-5.77	eV per atom

***

4.
A geometry-optimized BaMn2 structure. Source: Alexandria via LeMat-Bulk, functional PBE.

POSCAR file:
```
BaMn2
1.0
7.4890 0.0000 0.0000
0.0000 7.4890 0.0000
0.0000 0.0000 7.4890
Ba Mn
4 8
Direct
0.0000 0.0000 0.0000
0.0000 0.5000 0.5000
0.5000 0.0000 0.5000
0.5000 0.5000 0.0000
0.2500 0.2500 0.2500
0.2500 0.2500 0.7500
0.2500 0.7500 0.2500
0.2500 0.7500 0.7500
0.7500 0.2500 0.2500
0.7500 0.2500 0.7500
0.7500 0.7500 0.2500
0.7500 0.7500 0.7500
```

Computed properties:
uncorrected energy	-5.29	eV per atom
DFT formation energy	33.86	kcal/mol of atoms

***

5.
A geometry-optimized AlIn3Br structure. Source: Alexandria via LeMat-Bulk, functional PBE.

POSCAR file:
```
AlIn3Br
1.0
5.8716 0.0000 0.0000
0.0000 5.8716 0.0000
0.0000 0.0000 5.8716
Al In Br
1 3 1
Direct
0.0000 0.0000 0.0000
0.0000 0.5000 0.5000
0.5000 0.0000 0.5000
0.5000 0.5000 0.0000
0.5000 0.5000 0.5000
```

Computed properties:
formation energy without anion corrections	0.5301	eV per atom
uncorrected energy	-2.20	eV per atom
energy relative to the lowest polymorph listed for this composition	46.2	kJ per mole of atoms

***

6.
A geometry-optimized ScPt2Se structure. Source: Alexandria via LeMat-Bulk, functional PBE.

POSCAR file:
```
ScPt2Se
1.0
9.6421 0.0000 0.0000
0.0000 3.5159 0.0000
-0.5719 0.0000 4.1887
Sc Pt Se
2 4 2
Direct
0.0000 0.0000 0.0000
0.5000 0.5000 0.0000
0.2321 0.5000 0.2369
0.2679 0.0000 0.7631
0.7321 0.0000 0.2369
0.7679 0.5000 0.7631
0.0000 0.5000 0.5000
0.5000 0.0000 0.5000
```

Computed properties:
formation energy without anion corrections	-0.7975	eV per atom
uncorrected energy	-6.27	eV per atom